PBEsol InGe3Sb, relaxed; total magnetization = 0.000 Bohr magnetons per cell; total DFT energy (no corrections) = -3.6054 eV per atom; SG = Pm-3m, No. 221
1.0
5.263 0.000 0.000
0.000 5.263 0.000
0.000 0.000 5.263
In Ge Sb
1 3 1
direct
0.000 0.000 0.000
0.000 0.500 0.500
0.500 0.000 0.500
0.500 0.500 0.000
0.500 0.500 0.500

PBEsol Zn4CoSe5, relaxed; total magnetization = 2.643 Bohr magnetons per cell; total DFT energy (no corrections) = -3.8221 eV per atom; SG = Cm, No. 8
1.0
6.552 -1.972 0.000
6.552 1.972 0.000
-4.772 0.000 8.434
Zn Co Se
4 1 5
direct
0.000 0.000 0.000
0.200 0.200 0.803
0.396 0.396 0.593
0.595 0.595 0.395
0.800 0.800 0.200
0.197 0.197 0.549
0.392 0.392 0.338
0.605 0.605 0.150
0.800 0.800 0.958
0.998 0.998 0.747